Below is a relaxed NaPrPt2 crystal, with properties calculated at the PBE level.

a b c (Å): 3.7112 3.7112 6.1004
angles (deg): 90.00 90.00 90.00
Space group P4/mmm (No. 123)
Symmetry-distinct sites (fractional):
Na  0.0000  0.0000  0.0000 (multiplicity 1)
Pr  0.0000  0.0000  0.5000 (multiplicity 1)
Pt  0.5000  0.5000  0.2385 (multiplicity 2)

Output
**ΔH_f (0 K)**: -0.633 eV/atom
**Total DFT energy (no corrections)**: -5.1783 eV per atom
**Calculated volume**: 21.0 Å³ per atom